## SrBr2 (PBEsol)

Data for an optimized crystal structure of SrBr2.

Results
total magnetization	0.000	μB/f.u.
symmetry	Cmc2_1
E	-3.93	eV per atom
raw formation energy	-2.068	eV/atom

Lattice parameters (Å, degrees): 6.6048 6.6048 7.0466 90.00 90.00 142.77
Closest atoms and distances in Å follow each position.
Fractional positions:
Sr 0.1185 0.8815 0.5000  7 Br 3.02-3.23
Sr 0.8815 0.1185 0.0000  7 Br 3.02-3.23
Br 0.2135 0.7865 0.0737  3 Sr 3.02-3.23
Br 0.4888 0.5112 0.2739  4 Sr 3.10-3.16
Br 0.5112 0.4888 0.7739  4 Sr 3.10-3.16
Br 0.7865 0.2135 0.5737  3 Sr 3.02-3.23